# P3IrW | the Alexandria database | PBE | relaxed
data_P3IrW
_cell_length_a 4.533
_cell_length_b 4.533
_cell_length_c 4.533
_cell_angle_alpha 90.00
_cell_angle_beta 90.00
_cell_angle_gamma 90.00
_symmetry_space_group_name_H-M 'P 1'
_symmetry_Int_Tables_number 1
_symmetry_space_group_name_Hall 'P 1'
loop_
_atom_site_label
_atom_site_type_symbol
_atom_site_fract_x
_atom_site_fract_y
_atom_site_fract_z
Ir1 Ir 0.000 0.000 0.000
W1 W 0.500 0.500 0.500
P1 P 0.000 0.000 0.500
P2 P 0.000 0.500 0.000
P3 P 0.500 0.000 0.000
# **VASP energy**: -6.224 eV per atom
# **Size of the total moment**: 0.00 μB per formula unit
# **ΔE_f**: 1.38 eV per atom

# PuZn12Ni6 | the Alexandria database | PBE | relaxed
data_PuZn12Ni6
_cell_length_a 6.880
_cell_length_b 6.880
_cell_length_c 6.880
_cell_angle_alpha 104.66
_cell_angle_beta 104.66
_cell_angle_gamma 104.66
_symmetry_space_group_name_H-M 'P 1'
_symmetry_Int_Tables_number 1
_symmetry_space_group_name_Hall 'P 1'
loop_
_atom_site_label
_atom_site_type_symbol
_atom_site_fract_x
_atom_site_fract_y
_atom_site_fract_z
Zn1 Zn 0.500 0.115 0.885
Zn2 Zn 0.597 0.858 0.597
Zn3 Zn 0.885 0.500 0.115
Zn4 Zn 0.403 0.142 0.403
Zn5 Zn 0.142 0.403 0.403
Zn6 Zn 0.858 0.597 0.597
Zn7 Zn 0.115 0.885 0.500
Zn8 Zn 0.885 0.115 0.500
Zn9 Zn 0.403 0.403 0.142
Zn10 Zn 0.500 0.885 0.115
Zn11 Zn 0.597 0.597 0.858
Zn12 Zn 0.115 0.500 0.885
Ni1 Ni 0.725 0.301 0.725
Ni2 Ni 0.301 0.725 0.725
Ni3 Ni 0.725 0.725 0.301
Ni4 Ni 0.699 0.275 0.275
Ni5 Ni 0.275 0.275 0.699
Ni6 Ni 0.275 0.699 0.275
Pu1 Pu 0.000 0.000 0.000
# **VASP energy**: -3.435 eV per atom
# **Size of the total moment**: 5.83 μB per formula unit
# **ΔE_f**: -0.05 eV per atom